TlCuSi2: relaxed, PBE.

Values from the calculation:
Energy above the lowest structure with this stoichiometry: 0.055 eV per atom
Crystal system: monoclinic
E_form (uncorrected): 0.2719 eV per atom
Electronic total energy: -4.055 eV per atom

a b c (Å): 3.870 3.870 6.539
angles (deg): 106.49 106.49 59.64
Sites, in units of the cell vectors:
Tl 0.000 0.000 0.000
Cu 0.766 0.766 0.307
Si 0.199 0.199 0.615
Si 0.483 0.483 0.460